DFT (GGA-PBE) results for a geometry-optimized FeNiAsIr structure.

Unit cell a=4.215 b=4.215 c=4.215 alpha=60.00 beta=60.00 gamma=60.00
Fractional positions:
As (0.000, 0.000, 0.000)
Fe (0.750, 0.750, 0.750)
Ir (0.500, 0.500, 0.500)
Ni (0.250, 0.250, 0.250)

## Properties
As for the raw total energy: -6.71 eV per atom. The mass density comes out at 11.97 g/cm3.